[1]
MgCuRh2 | PBE-GGA | relaxed

Structure (CIF):
```
data_MgCuRh2
_chemical_formula_sum 'Mg1 Cu1 Rh2'
_space_group_name_H-M_alt 'P m m 2'
_space_group_IT_number 25
_cell_length_a 2.800
_cell_length_b 3.808
_cell_length_c 5.428
_cell_angle_alpha 90.00
_cell_angle_beta 90.00
_cell_angle_gamma 90.00
loop_
_space_group_symop_operation_xyz
'x,y,z'
'-x,-y,z'
'-x,y,z'
'x,-y,z'
loop_
_atom_site_label
_atom_site_type_symbol
_atom_site_fract_x
_atom_site_fract_y
_atom_site_fract_z
Mg1 Mg 0.000 0.000 0.000
Cu1 Cu 0.500 0.500 0.748
Rh1 Rh 0.000 0.000 0.504
Rh2 Rh 0.500 0.500 0.267
```

Results
The raw total energy comes out at -20.91 eV for the cell shown. The calculation puts the calculated formation energy at -2.98 kcal/mol of atoms.

=====

[2]
MgCu2Rh | PBE-GGA | relaxed

Structure (CIF):
```
data_MgCu2Rh
_chemical_formula_sum 'Mg2 Cu4 Rh2'
_space_group_name_H-M_alt 'C 1 2/m 1'
_space_group_IT_number 12
_cell_length_a 5.128
_cell_length_b 8.911
_cell_length_c 2.754
_cell_angle_alpha 90.00
_cell_angle_beta 116.90
_cell_angle_gamma 90.00
loop_
_space_group_symop_operation_xyz
'x,y,z'
'-x,-y,-z'
'-x,y,-z'
'x,-y,z'
'x+1/2,y+1/2,z'
'-x+1/2,-y+1/2,-z'
'-x+1/2,y+1/2,-z'
'x+1/2,-y+1/2,z'
loop_
_atom_site_label
_atom_site_type_symbol
_atom_site_fract_x
_atom_site_fract_y
_atom_site_fract_z
Mg1 Mg 0.000 0.000 0.000
Cu1 Cu 0.250 0.250 0.500
Rh1 Rh 0.000 0.500 0.000
```

Results
The raw total energy comes out at -34.74 eV for the cell shown. The calculation puts the calculated formation energy at -1.32 kcal/mol of atoms.

=====

Q: What is the calculated formation energy in the second record?
A: -1.32 kcal/mol of atoms

=====

Q: calculated formation energy of number 1 (MgCuRh2)?
A: -2.98 kcal/mol of atoms